Computed, not measured: a geometry-optimized Sr2Ni3P2 structure at the GGA-PBE level of DFT.

Calculated values
Uncorrected energy (eV/atom): -5.10
Crystal system: monoclinic
Energy of formation (eV per atom): -0.60
Magnetization (μB/f.u.): 0.0

a b c (Å): 3.7912 5.8406 6.9646
angles (deg): 118.16 90.00 108.94
Element x y z (fractional)
Sr  0.8757  0.7514  0.2381
Sr  0.1243  0.2486  0.7619
Ni  0.5000  0.0000  0.0000
Ni  0.6654  0.3309  0.4098
Ni  0.3346  0.6691  0.5902
P  0.8507  0.7014  0.7724
P  0.1493  0.2986  0.2276

=====

Computed, not measured: a geometry-optimized Cs3ScHg structure at the GGA-PBE level of DFT.

Calculated values
Uncorrected energy (eV/atom): -1.16
Crystal system: cubic
Energy of formation (eV per atom): 0.68
Magnetization (μB/f.u.): 4.0

a b c (Å): 7.0748 7.0748 7.0748
angles (deg): 90.00 90.00 90.00
Element x y z (fractional)
Cs  0.0000  0.5000  0.0000
Cs  0.0000  0.0000  0.5000
Cs  0.5000  0.0000  0.0000
Sc  0.0000  0.0000  0.0000
Hg  0.5000  0.5000  0.5000

=====

Computed, not measured: a geometry-optimized Ca12Sn5Au2 structure at the GGA-PBE level of DFT.

Calculated values
Uncorrected energy (eV/atom): -3.19
Crystal system: monoclinic
Energy of formation (eV per atom): -0.53
Magnetization (μB/f.u.): 0.0

a b c (Å): 7.7206 9.6344 10.2118
angles (deg): 104.31 90.00 113.62
Element x y z (fractional)
Ca  0.9890  0.9779  0.1859
Ca  0.0910  0.6552  0.9050
Ca  0.5642  0.6552  0.9050
Ca  0.0870  0.6864  0.4242
Ca  0.5994  0.6864  0.4242
Ca  0.4964  0.9928  0.7324
Ca  0.5036  0.0072  0.2676
Ca  0.9130  0.3136  0.5758
Ca  0.4006  0.3136  0.5758
Ca  0.9090  0.3448  0.0950
Ca  0.4358  0.3448  0.0950
Ca  0.0110  0.0221  0.8141
Sn  0.3125  0.6251  0.6471
Sn  0.3193  0.6386  0.1627
Sn  0.0000  0.0000  0.5000
Sn  0.6807  0.3614  0.8373
Sn  0.6875  0.3749  0.3529
Au  0.6908  0.0000  0.0000
Au  0.3092  0.0000  0.0000

=====

Computed, not measured: a geometry-optimized Cs2TlRu structure at the GGA-PBE level of DFT.

Calculated values
Uncorrected energy (eV/atom): -2.66
Crystal system: tetragonal
Energy relative to the lowest polymorph listed for this composition (eV/atom): 0.000
Energy of formation (eV per atom): 0.68
Magnetization (μB/f.u.): 0.6

a b c (Å): 9.4045 9.4045 9.4045
angles (deg): 94.64 94.64 146.96
Element x y z (fractional)
Cs  0.6250  0.3750  0.7500
Cs  0.6250  0.8750  0.2500
Cs  0.1250  0.3750  0.7500
Cs  0.6250  0.3750  0.2500
Tl  0.0000  0.0000  0.0000
Tl  0.2500  0.7500  0.5000
Ru  0.5000  0.5000  0.0000
Ru  0.7500  0.2500  0.5000

=====

> Look up the energy of formation of the second one.

0.68 eV per atom